Entry 1:
{"formula": "CuAg2PbF8", "functional": "PBE", "state": "optimized geometry", "lattice_angstrom": [[5.0547, 0.0000, 0.0000], [0.2565, 5.2260, 0.0000], [0.2438, 0.4615, 7.1492]], "species": ["Cu", "Ag", "Ag", "Pb", "F", "F", "F", "F", "F", "F", "F", "F"], "fractional_positions": [[0.0000, 0.0000, 0.0000], [0.4823, 0.4843, 0.7707], [0.5177, 0.5157, 0.2293], [0.0000, 0.0000, 0.5000], [0.1873, 0.7996, 0.7954], [0.1963, 0.8101, 0.2130], [0.2637, 0.2546, 0.9767], [0.3288, 0.3086, 0.4639], [0.6712, 0.6914, 0.5361], [0.7363, 0.7454, 0.0233], [0.8037, 0.1899, 0.7870], [0.8127, 0.2004, 0.2046]], "n_ef_per_ev_cell": 4.84, "formation_energy_uncorrected_ev_per_fu": -18.47}

=====

Entry 2:
{"formula": "LaSm5Pb6", "functional": "PBE", "state": "optimized geometry", "lattice_angstrom": [[8.0882, -4.5772, 0.0000], [8.0882, 4.5772, 0.0000], [-1.5660, 0.0000, 4.8167]], "species": ["La", "Sm", "Sm", "Sm", "Sm", "Sm", "Pb", "Pb", "Pb", "Pb", "Pb", "Pb"], "fractional_positions": [[0.0000, 0.0000, 0.0000], [0.1680, 0.1680, 0.6678], [0.3336, 0.3336, 0.3336], [0.5000, 0.5000, 0.0000], [0.6664, 0.6664, 0.6664], [0.8320, 0.8320, 0.3322], [0.0830, 0.5802, 0.8318], [0.2531, 0.7469, 0.5000], [0.4198, 0.9170, 0.1682], [0.5802, 0.0830, 0.8318], [0.7469, 0.2531, 0.5000], [0.9170, 0.4198, 0.1682]], "delta_e_f_ev_per_atom": -0.50, "n_ef_per_ev_cell": 11.98}

=====

Entry 3:
{"formula": "BaNa4Hg3F12", "functional": "PBE", "state": "optimized geometry", "lattice_angstrom": [[-4.2669, 4.2669, 4.2669], [4.2669, -4.2669, 4.2669], [4.2669, 4.2669, -4.2669]], "species": ["Ba", "Na", "Na", "Na", "Na", "Hg", "Hg", "Hg", "F", "F", "F", "F", "F", "F", "F", "F", "F", "F", "F", "F"], "fractional_positions": [[0.0000, 0.0000, 0.0000], [0.0000, 0.0000, 0.5000], [0.0000, 0.5000, 0.0000], [0.5000, 0.0000, 0.0000], [0.5000, 0.5000, 0.5000], [0.0000, 0.5000, 0.5000], [0.5000, 0.0000, 0.5000], [0.5000, 0.5000, 0.0000], [0.1291, 0.2984, 0.8307], [0.1693, 0.4677, 0.2984], [0.1693, 0.8709, 0.7016], [0.2984, 0.1693, 0.4677], [0.2984, 0.8307, 0.1291], [0.4677, 0.2984, 0.1693], [0.5323, 0.7016, 0.8307], [0.7016, 0.1693, 0.8709], [0.7016, 0.8307, 0.5323], [0.8307, 0.1291, 0.2984], [0.8307, 0.5323, 0.7016], [0.8709, 0.7016, 0.1693]], "n_ef_per_ev_cell": 0.00, "formation_energy_uncorrected_ev_per_fu": -46.21}

=====

Entry 4:
{"formula": "BaCa2SbN", "functional": "PBE", "state": "optimized geometry", "lattice_angstrom": [[4.9874, 0.0000, 0.0000], [0.0000, 4.9874, 0.0000], [0.0000, 0.0000, 5.4917]], "species": ["Ba", "Ca", "Ca", "Sb", "N"], "fractional_positions": [[0.0000, 0.0000, 0.0000], [0.0000, 0.5000, 0.5000], [0.5000, 0.0000, 0.5000], [0.5000, 0.5000, 0.0000], [0.0000, 0.0000, 0.5000]], "n_ef_per_ev_cell": 0.56, "formation_energy_uncorrected_ev_per_fu": -4.49}

=====

Entry 5:
{"formula": "La8Ga2Rh", "functional": "PBE", "state": "optimized geometry", "lattice_angstrom": [[-2.9121, 3.7165, 7.4916], [2.9121, -3.7165, 7.4916], [2.9121, 3.7165, -7.4916]], "species": ["La", "La", "La", "La", "La", "La", "La", "La", "Ga", "Ga", "Rh"], "fractional_positions": [[0.1281, 0.3611, 0.7670], [0.1410, 0.1410, 0.0000], [0.2841, 0.0000, 0.2841], [0.4059, 0.6389, 0.7670], [0.5941, 0.3611, 0.2330], [0.7159, 0.0000, 0.7159], [0.8590, 0.8590, 0.0000], [0.8719, 0.6389, 0.2330], [0.3116, 0.8116, 0.5000], [0.6884, 0.1884, 0.5000], [0.0000, 0.5000, 0.5000]], "delta_e_f_ev_per_atom": -0.27, "n_ef_per_ev_cell": 12.76, "polymorph_energy_ev_per_atom": 0.0914}

=====

Entry 6:
{"formula": "SrTaS2N", "functional": "PBE", "state": "optimized geometry", "lattice_angstrom": [[5.2353, 0.0000, 0.0000], [0.0000, 5.2353, 0.0000], [0.0000, 0.0000, 4.1542]], "species": ["Sr", "Ta", "S", "S", "N"], "fractional_positions": [[0.0000, 0.0000, 0.0000], [0.5000, 0.5000, 0.5000], [0.0000, 0.5000, 0.0000], [0.5000, 0.0000, 0.0000], [0.0000, 0.0000, 0.5000]], "n_ef_per_ev_cell": 6.28, "polymorph_energy_ev_per_atom": 2.7103, "formation_energy_uncorrected_ev_per_fu": 7.72}

=====

Entry 7:
{"formula": "SiB2", "functional": "PBE", "state": "optimized geometry", "lattice_angstrom": [[2.9962, 0.0000, 0.0000], [1.4778, 2.8784, 0.0000], [0.0052, 0.7469, 3.3497]], "species": ["Si", "B", "B"], "fractional_positions": [[0.0000, 0.0000, 0.0000], [0.2265, 0.5474, 0.6037], [0.7735, 0.4526, 0.3963]], "n_ef_per_ev_cell": 0.54, "polymorph_energy_ev_per_atom": 0.2453, "formation_energy_uncorrected_ev_per_fu": 1.31}

=====

Entry 8:
{"formula": "YTeIrN2", "functional": "PBE", "state": "optimized geometry", "lattice_angstrom": [[4.2819, 0.0000, 0.0000], [0.0000, 4.2819, 0.0000], [0.0000, 0.0000, 6.3140]], "species": ["Y", "Te", "Ir", "N", "N"], "fractional_positions": [[0.0000, 0.0000, 0.0000], [0.0000, 0.0000, 0.5000], [0.5000, 0.5000, 0.5000], [0.0000, 0.5000, 0.0000], [0.5000, 0.0000, 0.0000]], "n_ef_per_ev_cell": 3.75, "polymorph_energy_ev_per_atom": 0.9342, "formation_energy_uncorrected_ev_per_fu": 6.97}

=====

Entry 9:
{"formula": "LaPrS3", "functional": "PBE", "state": "optimized geometry", "lattice_angstrom": [[7.9266, -2.3149, 0.0000], [7.9266, 2.3149, 0.0000], [-1.1008, 0.0000, 8.4109]], "species": ["La", "La", "Pr", "Pr", "S", "S", "S", "S", "S", "S"], "fractional_positions": [[0.1248, 0.1248, 0.4120], [0.8752, 0.8752, 0.5880], [0.3525, 0.3525, 0.1350], [0.6475, 0.6475, 0.8650], [0.0492, 0.0492, 0.7194], [0.1731, 0.1731, 0.0858], [0.3151, 0.3151, 0.4434], [0.6849, 0.6849, 0.5566], [0.8269, 0.8269, 0.9142], [0.9508, 0.9508, 0.2806]], "n_ef_per_ev_cell": 0.00, "polymorph_energy_ev_per_atom": 0.1368, "formation_energy_uncorrected_ev_per_fu": -9.99}

=====

Entry 10:
{"formula": "PmGa2Sb", "functional": "PBE", "state": "optimized geometry", "lattice_angstrom": [[3.7586, 0.0000, 0.0000], [0.0000, 3.7586, 0.0000], [0.0000, 0.0000, 6.6213]], "species": ["Pm", "Ga", "Ga", "Sb"], "fractional_positions": [[0.0000, 0.0000, 0.0000], [0.5000, 0.5000, 0.2826], [0.5000, 0.5000, 0.7174], [0.0000, 0.0000, 0.5000]], "n_ef_per_ev_cell": 3.15, "polymorph_energy_ev_per_atom": 0.2033, "formation_energy_uncorrected_ev_per_fu": -1.37}

=====

Entry 11:
{"formula": "KHI3", "functional": "PBE", "state": "optimized geometry", "lattice_angstrom": [[5.4376, 0.0000, 0.0000], [0.0000, 5.4376, 0.0000], [0.0000, 0.0000, 5.4376]], "species": ["K", "H", "I", "I", "I"], "fractional_positions": [[0.0000, 0.0000, 0.0000], [0.5000, 0.5000, 0.5000], [0.0000, 0.5000, 0.5000], [0.5000, 0.0000, 0.5000], [0.5000, 0.5000, 0.0000]], "n_ef_per_ev_cell": 6.32, "polymorph_energy_ev_per_atom": 0.5250}

=====

Entry 12:
{"formula": "BaAl2Rh", "functional": "PBE", "state": "optimized geometry", "lattice_angstrom": [[2.1701, 1.2529, 6.0893], [-2.1701, 1.2529, 6.0893], [0.0000, -2.5058, 6.0893]], "species": ["Ba", "Al", "Al", "Rh"], "fractional_positions": [[0.0000, 0.0000, 0.0000], [0.1935, 0.1935, 0.1935], [0.8065, 0.8065, 0.8065], [0.5000, 0.5000, 0.5000]], "delta_e_f_ev_per_atom": -0.55, "n_ef_per_ev_cell": 4.07}